First-principles (PBE+U) data for crystalline Al2MoF8 at its relaxed geometry, as listed in Alexandria.

Lattice parameters (Å, degrees): 3.729 6.552 6.552 120.00 90.00 90.00
Atoms (fractional coordinates):
F  0.247  0.182  0.819
F  0.247  0.638  0.818
F  0.256  0.667  0.333
F  0.753  0.362  0.182
F  0.247  0.181  0.362
F  0.744  0.333  0.667
F  0.753  0.819  0.638
F  0.753  0.818  0.181
Al  0.244  0.333  0.667
Al  0.756  0.667  0.333
Mo  0.000  0.000  0.000

Output
Raw total energy ... -0.2063 hartree per atom
Space group ... P-3m1